Entry 1:
Below is crystalline CsPrCdTe3 at its relaxed geometry, with properties calculated at the PBE-GGA level.

## Properties
space group = Pnma, No. 62
E = -3.78 eV per atom

Cell: 12.167 4.644 17.121 Å, 90.00 90.00 90.00°
Atoms (fractional coordinates):
Cd1 0.754 0.250 0.212
Cs1 0.755 0.750 0.999
Cd2 0.254 0.250 0.288
Te1 0.952 0.250 0.125
Pr1 0.504 0.750 0.249
Te2 0.246 0.250 0.684
Pr2 0.496 0.250 0.751
Cs2 0.745 0.250 0.499
Te3 0.754 0.750 0.316
Cs3 0.255 0.750 0.501
Te4 0.557 0.250 0.124
Cd3 0.746 0.750 0.712
Te5 0.254 0.750 0.184
Cs4 0.245 0.250 0.001
Te6 0.746 0.250 0.816
Cd4 0.246 0.750 0.788
Te7 0.452 0.250 0.375
Pr3 0.004 0.750 0.251
Te8 0.443 0.750 0.876
Te9 0.548 0.750 0.625
Te10 0.048 0.750 0.875
Te11 0.943 0.750 0.624
Te12 0.057 0.250 0.376
Pr4 0.996 0.250 0.749


Entry 2:
Below is crystalline ZrGaCuHg at its relaxed geometry, with properties calculated at the PBE-GGA level.

## Properties
energy above the lowest structure with this stoichiometry = 0.000 eV/atom
space group = F-43m, No. 216

Cell: 4.683 4.683 4.683 Å, 60.00 60.00 60.00°
Atoms (fractional coordinates):
Hg1 0.500 0.500 0.500
Cu1 0.750 0.750 0.750
Ga1 0.000 0.000 0.000
Zr1 0.250 0.250 0.250


Entry 3:
Below is crystalline PrNd3S3O4 at its relaxed geometry, with properties calculated at the PBE-GGA level.

## Properties
space group = Amm2, No. 38
E = -7.43 eV per atom

Cell: 8.348 6.617 6.617 Å, 34.76 90.00 90.00°
Atoms (fractional coordinates):
O1 0.000 0.619 0.619
S1 0.500 0.315 0.315
S2 0.870 0.352 0.352
O2 0.258 0.088 0.088
O3 0.500 0.590 0.590
O4 0.742 0.088 0.088
Pr1 0.000 0.014 0.014
S3 0.130 0.352 0.352
Nd1 0.735 0.690 0.690
Nd2 0.500 0.997 0.997
Nd3 0.265 0.690 0.690